Entry 1:
## LiHf2Os2 (SCAN)

Data for a crystal of LiHf2Os2 relaxed with PBEsol.

Values from the calculation:
crystal system = tetragonal
space-group type = I4/mmm (139)
N(E_F) = 0.631 states/eV/atom
energy of formation from the pure elements = 2 kJ/mol of atoms
total DFT energy (no corrections) = -271.399 eV per cell

abc: 4.361 4.361 6.253
angles: 110.41 110.41 90.00
Fractional positions:
Hf1 0.750 0.250 0.500
Hf2 0.250 0.750 0.500
Li1 0.000 0.000 0.000
Os1 0.387 0.387 0.774
Os2 0.613 0.613 0.226

***

Entry 2:
## LiHf2Os (SCAN)

Data for a crystal of LiHf2Os relaxed with PBEsol.

Values from the calculation:
crystal system = cubic
space-group type = Fm-3m (225)
N(E_F) = 0.549 states/eV/atom
energy of formation from the pure elements = -48 kJ/mol of atoms
total DFT energy (no corrections) = -201.620 eV per cell

abc: 4.569 4.569 4.569
angles: 60.00 60.00 60.00
Fractional positions:
Os1 0.000 0.000 0.000
Li1 0.500 0.500 0.500
Hf1 0.750 0.750 0.750
Hf2 0.250 0.250 0.250

***

Entry 3:
## LiHfP2 (SCAN)

Data for a crystal of LiHfP2 relaxed with PBEsol.

Values from the calculation:
crystal system = tetragonal
space-group type = I-42d (122)
N(E_F) = 0.232 states/eV/atom
energy of formation from the pure elements = -54 kJ/mol of atoms
total DFT energy (no corrections) = -176.193 eV per cell

abc: 5.525 5.525 5.525
angles: 105.90 105.90 116.87
Fractional positions:
Hf1 0.250 0.750 0.500
Hf2 0.000 0.000 0.000
Li1 0.750 0.250 0.500
Li2 0.500 0.500 0.000
P1 0.857 0.875 0.482
P2 0.625 0.143 0.018
P3 0.393 0.375 0.518
P4 0.125 0.607 0.982

***

Entry 4:
## LiHf3P (SCAN)

Data for a crystal of LiHf3P relaxed with PBEsol.

Values from the calculation:
crystal system = cubic
space-group type = Pm-3m (221)
N(E_F) = 0.718 states/eV/atom
energy of formation from the pure elements = 62 kJ/mol of atoms
total DFT energy (no corrections) = -197.574 eV per cell

abc: 4.495 4.495 4.495
angles: 90.00 90.00 90.00
Fractional positions:
Hf1 0.000 0.000 0.500
Hf2 0.500 0.000 0.000
Hf3 0.000 0.500 0.000
Li1 0.000 0.000 0.000
P1 0.500 0.500 0.500

***

Entry 5:
## Li2HfPd2 (SCAN)

Data for a crystal of Li2HfPd2 relaxed with PBEsol.

Values from the calculation:
crystal system = tetragonal
space-group type = P4/mbm (127)
N(E_F) = 0.557 states/eV/atom
energy of formation from the pure elements = -43 kJ/mol of atoms
total DFT energy (no corrections) = -270.478 eV per cell
relative energy among the computed polymorphs = 34.3 meV per atom

abc: 2.861 7.086 7.086
angles: 90.00 90.00 90.00
Fractional positions:
Li1 0.000 0.109 0.391
Li2 0.000 0.891 0.609
Li3 0.000 0.391 0.891
Li4 0.000 0.609 0.109
Hf1 0.000 0.000 0.000
Hf2 0.000 0.500 0.500
Pd1 0.500 0.809 0.309
Pd2 0.500 0.309 0.191
Pd3 0.500 0.191 0.691
Pd4 0.500 0.691 0.809

***

Entry 6:
## LiHf2Pd2 (SCAN)

Data for a crystal of LiHf2Pd2 relaxed with PBEsol.

Values from the calculation:
crystal system = tetragonal
space-group type = P4/mbm (127)
N(E_F) = 0.620 states/eV/atom
energy of formation from the pure elements = -55 kJ/mol of atoms
total DFT energy (no corrections) = -392.224 eV per cell

abc: 3.165 7.583 7.583
angles: 90.00 90.00 90.00
Fractional positions:
Hf1 0.500 0.837 0.337
Hf2 0.500 0.663 0.837
Hf3 0.500 0.337 0.163
Hf4 0.500 0.163 0.663
Pd1 0.000 0.866 0.634
Pd2 0.000 0.134 0.366
Pd3 0.000 0.634 0.134
Pd4 0.000 0.366 0.866
Li1 0.000 0.000 0.000
Li2 0.000 0.500 0.500

***

Entry 7:
## Li2HfPd2 (SCAN)

Data for a crystal of Li2HfPd2 relaxed with PBEsol.

Values from the calculation:
crystal system = tetragonal
space-group type = I4/mmm (139)
N(E_F) = 0.398 states/eV/atom
energy of formation from the pure elements = -46 kJ/mol of atoms
total DFT energy (no corrections) = -135.410 eV per cell
relative energy among the computed polymorphs = 0.0 meV per atom

abc: 3.415 3.415 7.191
angles: 103.73 103.73 90.00
Fractional positions:
Pd1 0.400 0.400 0.800
Pd2 0.600 0.600 0.200
Li1 0.250 0.750 0.500
Li2 0.750 0.250 0.500
Hf1 0.000 0.000 0.000

***

Entry 8:
## LiHfTa2Pd (SCAN)

Data for a crystal of LiHfTa2Pd relaxed with PBEsol.

Values from the calculation:
crystal system = tetragonal
space-group type = P4/mmm (123)
N(E_F) = 0.808 states/eV/atom
energy of formation from the pure elements = 165 kJ/mol of atoms
total DFT energy (no corrections) = -222.441 eV per cell

abc: 4.524 4.796 4.796
angles: 90.00 90.00 90.00
Fractional positions:
Ta1 0.000 0.000 0.500
Ta2 0.000 0.500 0.000
Hf1 0.000 0.000 0.000
Pd1 0.500 0.500 0.500
Li1 0.500 0.000 0.000

***

Entry 9:
## LiHf2Pt (SCAN)

Data for a crystal of LiHf2Pt relaxed with PBEsol.

Values from the calculation:
crystal system = tetragonal
space-group type = I-42d (122)
N(E_F) = 0.812 states/eV/atom
energy of formation from the pure elements = -22 kJ/mol of atoms
total DFT energy (no corrections) = -397.695 eV per cell

abc: 5.634 6.023 6.023
angles: 77.37 62.12 62.12
Fractional positions:
Hf1 0.875 0.462 0.038
Hf2 0.663 0.962 0.462
Hf3 0.087 0.038 0.538
Hf4 0.375 0.538 0.962
Li1 0.500 0.000 0.000
Li2 0.250 0.500 0.500
Pt1 0.000 0.000 0.000
Pt2 0.750 0.500 0.500

***

Entry 10:
## Li2HfPt2 (SCAN)

Data for a crystal of Li2HfPt2 relaxed with PBEsol.

Values from the calculation:
crystal system = tetragonal
space-group type = P4/mbm (127)
N(E_F) = 0.530 states/eV/atom
energy of formation from the pure elements = -77 kJ/mol of atoms
total DFT energy (no corrections) = -423.687 eV per cell

abc: 2.844 7.048 7.048
angles: 90.00 90.00 90.00
Fractional positions:
Li1 0.000 0.106 0.394
Li2 0.000 0.894 0.606
Li3 0.000 0.394 0.894
Li4 0.000 0.606 0.106
Pt1 0.500 0.193 0.693
Pt2 0.500 0.807 0.307
Pt3 0.500 0.307 0.193
Pt4 0.500 0.693 0.807
Hf1 0.000 0.500 0.500
Hf2 0.000 0.000 0.000

***

Entry 11:
## LiHf2Re (SCAN)

Data for a crystal of LiHf2Re relaxed with PBEsol.

Values from the calculation:
crystal system = cubic
space-group type = Fm-3m (225)
N(E_F) = 0.712 states/eV/atom
energy of formation from the pure elements = -27 kJ/mol of atoms
total DFT energy (no corrections) = -199.966 eV per cell

abc: 4.592 4.592 4.592
angles: 60.00 60.00 60.00
Fractional positions:
Hf1 0.250 0.250 0.250
Hf2 0.750 0.750 0.750
Re1 0.000 0.000 0.000
Li1 0.500 0.500 0.500

***

Entry 12:
## LiHfRh2 (SCAN)

Data for a crystal of LiHfRh2 relaxed with PBEsol.

Values from the calculation:
crystal system = cubic
space-group type = Fm-3m (225)
N(E_F) = 0.443 states/eV/atom
energy of formation from the pure elements = -80 kJ/mol of atoms
total DFT energy (no corrections) = -135.907 eV per cell

abc: 4.344 4.344 4.344
angles: 60.00 60.00 60.00
Fractional positions:
Rh1 0.250 0.250 0.250
Rh2 0.750 0.750 0.750
Hf1 0.500 0.500 0.500
Li1 0.000 0.000 0.000

***

Entry 13:
## LiHfRh3 (SCAN)

Data for a crystal of LiHfRh3 relaxed with PBEsol.

Values from the calculation:
crystal system = cubic
space-group type = Pm-3m (221)
N(E_F) = 0.518 states/eV/atom
energy of formation from the pure elements = 62 kJ/mol of atoms
total DFT energy (no corrections) = -163.156 eV per cell

abc: 4.727 4.727 4.727
angles: 90.00 90.00 90.00
Fractional positions:
Rh1 0.000 0.500 0.000
Rh2 0.500 0.000 0.000
Rh3 0.000 0.000 0.500
Hf1 0.000 0.000 0.000
Li1 0.500 0.500 0.500

***

Entry 14:
## Li3HfRu (SCAN)

Data for a crystal of Li3HfRu relaxed with PBEsol.

Values from the calculation:
crystal system = cubic
space-group type = Pm-3m (221)
N(E_F) = 0.761 states/eV/atom
energy of formation from the pure elements = 189 kJ/mol of atoms
total DFT energy (no corrections) = -94.877 eV per cell

abc: 4.523 4.523 4.523
angles: 90.00 90.00 90.00
Fractional positions:
Li1 0.500 0.000 0.000
Li2 0.000 0.000 0.500
Li3 0.000 0.500 0.000
Hf1 0.000 0.000 0.000
Ru1 0.500 0.500 0.500

***

Entry 15:
## Li2HfS (SCAN)

Data for a crystal of Li2HfS relaxed with PBEsol.

Values from the calculation:
crystal system = tetragonal
space-group type = I-42d (122)
N(E_F) = 0.541 states/eV/atom
total DFT energy (no corrections) = -157.232 eV per cell

abc: 4.930 5.813 5.813
angles: 79.64 64.91 64.91
Fractional positions:
Li1 0.875 0.928 0.572
Li2 0.375 0.072 0.428
Li3 0.197 0.428 0.928
Li4 0.553 0.572 0.072
Hf1 0.000 0.000 0.000
Hf2 0.750 0.500 0.500
S1 0.250 0.500 0.500
S2 0.500 0.000 0.000

***

Entry 16:
## LiHfSe2S (SCAN)

Data for a crystal of LiHfSe2S relaxed with PBEsol.

Values from the calculation:
crystal system = tetragonal
space-group type = P4/mmm (123)
N(E_F) = 0.523 states/eV/atom
total DFT energy (no corrections) = -113.925 eV per cell

abc: 4.124 4.124 5.448
angles: 90.00 90.00 90.00
Fractional positions:
Se1 0.500 0.000 0.000
Se2 0.000 0.500 0.000
S1 0.500 0.500 0.500
Li1 0.000 0.000 0.000
Hf1 0.000 0.000 0.500

***

Entry 17:
## LiHf2SnS (SCAN)

Data for a crystal of LiHf2SnS relaxed with PBEsol.

Values from the calculation:
crystal system = tetragonal
space-group type = P4/mmm (123)
N(E_F) = 0.754 states/eV/atom
total DFT energy (no corrections) = -170.703 eV per cell

abc: 4.170 4.814 4.814
angles: 90.00 90.00 90.00
Fractional positions:
Hf1 0.000 0.500 0.000
Hf2 0.000 0.000 0.500
S1 0.500 0.500 0.500
Li1 0.000 0.000 0.000
Sn1 0.500 0.000 0.000

***

Entry 18:
## Li2HfSb (SCAN)

Data for a crystal of Li2HfSb relaxed with PBEsol.

Values from the calculation:
crystal system = tetragonal
space-group type = I-42d (122)
N(E_F) = 0.365 states/eV/atom
total DFT energy (no corrections) = -209.972 eV per cell

abc: 4.006 4.006 11.024
angles: 100.47 100.47 90.00
Fractional positions:
Hf1 0.250 0.750 0.500
Hf2 0.000 0.000 0.000
Li1 0.383 0.875 0.250
Li2 0.125 0.133 0.750
Li3 0.867 0.375 0.250
Li4 0.625 0.617 0.750
Sb1 0.750 0.250 0.500
Sb2 0.500 0.500 0.000

***

Entry 19:
## LiHfSb2Te (SCAN)

Data for a crystal of LiHfSb2Te relaxed with PBEsol.

Values from the calculation:
crystal system = tetragonal
space-group type = P4/mmm (123)
N(E_F) = 0.823 states/eV/atom
total DFT energy (no corrections) = -176.989 eV per cell

abc: 5.481 5.481 5.494
angles: 90.00 90.00 90.00
Fractional positions:
Te1 0.000 0.000 0.500
Sb1 0.000 0.500 0.000
Sb2 0.500 0.000 0.000
Li1 0.500 0.500 0.500
Hf1 0.000 0.000 0.000

***

Entry 20:
## LiHfSc3 (SCAN)

Data for a crystal of LiHfSc3 relaxed with PBEsol.

Values from the calculation:
crystal system = cubic
space-group type = Pm-3m (221)
N(E_F) = 0.501 states/eV/atom
energy of formation from the pure elements = 69 kJ/mol of atoms
total DFT energy (no corrections) = -104.175 eV per cell

abc: 5.231 5.231 5.231
angles: 90.00 90.00 90.00
Fractional positions:
Sc1 0.000 0.000 0.500
Sc2 0.500 0.000 0.000
Sc3 0.000 0.500 0.000
Li1 0.500 0.500 0.500
Hf1 0.000 0.000 0.000